La2OsPd: optimized geometry, PBE.

Output
Formation enthalpy at 0 K ... -370 meV per atom
Magnetization ... 0.0 μB/f.u.

a = 3.5523 Å, b = 3.5523 Å, c = 7.5108 Å
α = 90.00°, β = 90.00°, γ = 90.00°
Element x y z (fractional)
1 Pd 0.5000 0.5000 0.5000
2 Os 0.5000 0.5000 0.0000
3 La 0.0000 0.0000 0.7620
4 La 0.0000 0.0000 0.2380

***

AcMg2Ag4: optimized geometry, PBE.

Output
Formation enthalpy at 0 K ... -283 meV per atom
Magnetization ... 0.0 μB/f.u.
ΔE to the lowest computed polymorph ... 0 meV per atom

a = 5.7486 Å, b = 5.9326 Å, c = 5.9326 Å
α = 76.42°, β = 61.02°, γ = 61.02°
Element x y z (fractional)
1 Ag 0.3067 0.3865 0.0000
2 Ag 0.6933 0.6135 0.0000
3 Ag 0.3067 0.0000 0.3865
4 Ag 0.6933 0.0000 0.6135
5 Mg 0.7500 0.5000 0.5000
6 Mg 0.2500 0.5000 0.5000
7 Ac 0.0000 0.0000 0.0000

***

CaAc2NdTl4: optimized geometry, PBE.

Output
Formation enthalpy at 0 K ... -384 meV per atom
Magnetization ... 0.0 μB/f.u.

a = 5.6812 Å, b = 5.6812 Å, c = 9.9261 Å
α = 73.37°, β = 73.37°, γ = 60.00°
Element x y z (fractional)
1 Tl 0.3732 0.3732 0.8805
2 Tl 0.1230 0.1230 0.6309
3 Tl 0.6268 0.6268 0.1195
4 Tl 0.8770 0.8770 0.3691
5 Ca 0.5000 0.5000 0.5000
6 Ac 0.7541 0.7541 0.7378
7 Ac 0.2459 0.2459 0.2622
8 Nd 0.0000 0.0000 0.0000

***

What did the second record say?
AcMg2Ag4: optimized geometry, PBE.

Output
Formation enthalpy at 0 K ... -283 meV per atom
Magnetization ... 0.0 μB/f.u.
ΔE to the lowest computed polymorph ... 0 meV per atom

a = 5.7486 Å, b = 5.9326 Å, c = 5.9326 Å
α = 76.42°, β = 61.02°, γ = 61.02°
Element x y z (fractional)
1 Ag 0.3067 0.3865 0.0000
2 Ag 0.6933 0.6135 0.0000
3 Ag 0.3067 0.0000 0.3865
4 Ag 0.6933 0.0000 0.6135
5 Mg 0.7500 0.5000 0.5000
6 Mg 0.2500 0.5000 0.5000
7 Ac 0.0000 0.0000 0.0000